No. 1
{"formula": "LiMg4In2", "functional": "PBE", "state": "relaxed", "lattice": [[-0.9624, -5.4680, 0.7650], [5.3835, 1.5397, 0.2397], [-2.7348, 2.8804, 5.3874]], "species": ["Li", "Mg", "Mg", "Mg", "Mg", "In", "In"], "frac_coords": [[0.0000, 0.0000, 0.0000], [0.7500, 0.2500, 0.5000], [0.2500, 0.7500, 0.5000], [0.5000, 0.0000, 0.0000], [0.0000, 0.5000, 0.0000], [0.6367, 0.6367, 0.2733], [0.3633, 0.3633, 0.7267]], "total_magnetization_mub_per_cell": 0.000, "sg": "Fmmm", "e_form_mev_per_atom": 53, "polymorph_energy_mev_per_atom": 93}

=====

No. 2
{"formula": "Li12Mg3In", "functional": "PBE", "state": "relaxed", "lattice": [[4.2646, 0.0000, 0.0000], [0.0000, 4.2646, 0.0000], [0.0000, 0.0000, 17.3668]], "species": ["Li", "Li", "Li", "Li", "Li", "Li", "Li", "Li", "Li", "Li", "Li", "Li", "Mg", "Mg", "Mg", "In"], "frac_coords": [[0.5000, 0.5000, 0.0000], [0.5000, 0.5000, 0.2455], [0.5000, 0.5000, 0.5000], [0.5000, 0.5000, 0.7545], [0.5000, 0.0000, 0.1177], [0.5000, 0.0000, 0.3718], [0.5000, 0.0000, 0.6282], [0.5000, 0.0000, 0.8823], [0.0000, 0.5000, 0.1177], [0.0000, 0.5000, 0.3718], [0.0000, 0.5000, 0.6282], [0.0000, 0.5000, 0.8823], [0.0000, 0.0000, 0.2435], [0.0000, 0.0000, 0.5000], [0.0000, 0.0000, 0.7565], [0.0000, 0.0000, 0.0000]], "total_magnetization_mub_per_cell": 0.000, "sg": "P4/mmm", "e_form_mev_per_atom": -74}

=====

No. 3
{"formula": "LiMgIn2", "functional": "PBE", "state": "relaxed", "lattice": [[-0.1305, -3.3113, -1.3741], [2.5073, 1.2159, -3.1680], [4.8019, -1.5238, 3.2157]], "species": ["Mg", "Li", "In", "In"], "frac_coords": [[0.5000, 0.5000, 0.7544], [0.0000, 0.0000, 0.4918], [0.0000, 0.0000, 0.9923], [0.5000, 0.5000, 0.2616]], "total_magnetization_mub_per_cell": 0.000, "sg": "Pmm2", "e_form_mev_per_atom": -133}

=====

No. 4
{"formula": "Li2Mg8In", "functional": "PBE", "state": "relaxed", "lattice": [[4.4761, 0.0000, -1.2814], [-0.1974, 6.4439, -0.6897], [-0.0097, -0.3565, 8.4243]], "species": ["Li", "Li", "Mg", "Mg", "Mg", "Mg", "Mg", "Mg", "Mg", "Mg", "In"], "frac_coords": [[0.8660, 0.8265, 0.7319], [0.1340, 0.1735, 0.2681], [0.4071, 0.5568, 0.8143], [0.6820, 0.9159, 0.3641], [0.7776, 0.3732, 0.5551], [0.0434, 0.7302, 0.0867], [0.2224, 0.6268, 0.4449], [0.3180, 0.0841, 0.6359], [0.5929, 0.4432, 0.1857], [0.9566, 0.2698, 0.9133], [0.5000, 0.0000, 0.0000]], "total_magnetization_mub_per_cell": 0.000, "sg": "C2/m", "e_form_mev_per_atom": -57, "polymorph_energy_mev_per_atom": 0}

=====

No. 5
{"formula": "LiMg2In2", "functional": "PBE", "state": "relaxed", "lattice": [[-0.2556, 7.7352, -2.4492], [-8.1081, -0.1525, 0.3644], [0.1355, 1.1054, 3.4769]], "species": ["Mg", "Mg", "Mg", "Mg", "Li", "Li", "In", "In", "In", "In"], "frac_coords": [[0.1655, 0.6655, 0.5000], [0.6655, 0.8345, 0.5000], [0.8345, 0.3345, 0.5000], [0.3345, 0.1655, 0.5000], [0.0000, 0.0000, 0.0000], [0.5000, 0.5000, 0.0000], [0.3653, 0.8653, 0.0000], [0.8653, 0.6347, 0.0000], [0.6347, 0.1347, 0.0000], [0.1347, 0.3653, 0.0000]], "total_magnetization_mub_per_cell": 0.000, "sg": "P4/mbm", "e_form_mev_per_atom": -68, "polymorph_energy_mev_per_atom": 0}

=====

No. 6
{"formula": "Li4Mg4In3", "functional": "PBE", "state": "relaxed", "lattice": [[-2.3055, -1.1451, -1.8242], [-0.2475, -3.9960, 2.8956], [-9.4537, 5.2977, 10.7360]], "species": ["Li", "Li", "Li", "Li", "Mg", "Mg", "Mg", "Mg", "In", "In", "In"], "frac_coords": [[0.8162, 0.5498, 0.8987], [0.1839, 0.4502, 0.1013], [0.2239, 0.8268, 0.3482], [0.7762, 0.1732, 0.6518], [0.3600, 0.0839, 0.8281], [0.2358, 0.2686, 0.4642], [0.7642, 0.7314, 0.5358], [0.6400, 0.9161, 0.1719], [0.3009, 0.6398, 0.7163], [0.6992, 0.3602, 0.2837], [0.0000, 0.0000, 0.0000]], "total_magnetization_mub_per_cell": 0.000, "sg": "P-1", "e_form_mev_per_atom": -153, "polymorph_energy_mev_per_atom": 0}

=====

No. 7
{"formula": "LiMg5In", "functional": "PBE", "state": "relaxed", "lattice": [[8.5782, -0.4919, -0.7232], [2.2550, 8.2911, -0.7232], [3.6919, 2.6580, 4.0631]], "species": ["Li", "Li", "Mg", "Mg", "Mg", "Mg", "Mg", "Mg", "Mg", "Mg", "Mg", "Mg", "In", "In"], "frac_coords": [[0.4362, 0.5638, 0.2500], [0.5638, 0.4362, 0.7500], [0.6495, 0.0363, 0.0109], [0.1810, 0.3363, 0.8866], [0.0363, 0.6495, 0.5109], [0.7258, 0.2742, 0.2500], [0.6637, 0.8190, 0.6134], [0.3363, 0.1810, 0.3866], [0.2742, 0.7258, 0.7500], [0.9637, 0.3505, 0.4891], [0.8190, 0.6637, 0.1134], [0.3505, 0.9637, 0.9891], [0.0000, 0.0000, 0.0000], [0.0000, 0.0000, 0.5000]], "total_magnetization_mub_per_cell": 0.000, "sg": "C2/c", "e_form_mev_per_atom": 27}

=====

No. 8
{"formula": "LiMg5In4", "functional": "PBE", "state": "relaxed", "lattice": [[-0.3389, 2.7393, -1.8624], [-3.7241, -4.9634, -6.6225], [-7.2160, -0.2067, 3.9857]], "species": ["Li", "Mg", "Mg", "Mg", "Mg", "Mg", "In", "In", "In", "In"], "frac_coords": [[0.5000, 0.0000, 0.0000], [0.1936, 0.3982, 0.3871], [0.1512, 0.7641, 0.3024], [0.8488, 0.2359, 0.6976], [0.5000, 0.5000, 0.0000], [0.8064, 0.6018, 0.6129], [0.6765, 0.0793, 0.3529], [0.0328, 0.2395, 0.0656], [0.3235, 0.9207, 0.6471], [0.9672, 0.7605, 0.9344]], "total_magnetization_mub_per_cell": 0.000, "sg": "C2/m", "e_form_mev_per_atom": -7, "polymorph_energy_mev_per_atom": 107}